Entry 1:
Dy3Ga | PBE | relaxed

Results
* distance to the lowest polymorph of the same formula: 0 meV per atom
* symmetry: Immm, No. 71
* energy relative to the elements: -290 meV/atom

```
Dy3Ga
1.0
-1.846 2.610 5.685
1.846 -2.610 5.685
1.846 2.610 -5.685
Dy Ga
3 1
Direct
0.000 0.000 0.000 Dy
0.288 0.788 0.500 Dy
0.712 0.212 0.500 Dy
0.500 0.500 0.000 Ga
```

---

Entry 2:
Mn2FeOs | PBE | relaxed

Results
* symmetry: Pmm2, No. 25
* energy relative to the elements: 54 meV/atom

```
Mn2FeOs
1.0
2.598 0.000 0.000
0.000 3.642 0.000
0.000 0.000 5.143
Mn Fe Os
2 1 1
Direct
0.000 0.000 0.000 Mn
0.500 0.500 0.244 Mn
0.500 0.500 0.750 Fe
0.000 0.000 0.506 Os
```

---

Entry 3:
YTl2Si | PBE | relaxed

Results
* distance to the lowest polymorph of the same formula: 48 meV per atom
* uncorrected formation energy: -0.074 eV per atom
* symmetry: Pmm2, No. 25

```
YTl2Si
1.0
3.530 0.000 0.000
0.000 4.289 0.000
0.000 0.000 6.970
Y Tl Si
1 2 1
Direct
0.000 0.000 0.000 Y
0.000 0.000 0.452 Tl
0.500 0.500 0.716 Tl
0.500 0.500 0.148 Si
```

---

Entry 4:
Pm5SmTl2 | PBE | relaxed

Results
* distance to the lowest polymorph of the same formula: 83 meV per atom
* symmetry: Immm, No. 71
* energy relative to the elements: -121 meV/atom

```
Pm5SmTl2
1.0
-1.860 5.457 6.328
1.860 -5.457 6.328
1.860 5.457 -6.328
Pm Sm Tl
5 1 2
Direct
0.000 0.000 0.000 Pm
0.085 0.363 0.723 Pm
0.360 0.637 0.723 Pm
0.640 0.363 0.277 Pm
0.915 0.637 0.277 Pm
0.500 0.000 0.500 Sm
0.271 0.271 0.000 Tl
0.729 0.729 0.000 Tl
```

---

Entry 5:
AgSe | PBE | relaxed

Results
* uncorrected formation energy: -0.040 eV per atom
* symmetry: C2/c, No. 15

```
AgSe
1.0
3.189 -2.414 0.000
3.189 2.414 0.000
-1.738 0.000 6.309
Ag Se
2 2
Direct
0.000 0.500 0.000 Ag
0.500 0.000 0.500 Ag
0.095 0.905 0.750 Se
0.905 0.095 0.250 Se
```

---

Entry 6:
TbNd2Ga2 | PBE | relaxed

Results
* distance to the lowest polymorph of the same formula: 17 meV per atom
* symmetry: C2/m, No. 12
* energy relative to the elements: -463 meV/atom

```
TbNd2Ga2
1.0
6.019 -2.373 0.000
6.019 2.373 0.000
-5.560 0.000 9.547
Tb Nd Ga
2 4 4
Direct
0.203 0.203 0.354 Tb
0.797 0.797 0.646 Tb
0.310 0.310 0.899 Nd
0.476 0.476 0.315 Nd
0.524 0.524 0.685 Nd
0.690 0.690 0.101 Nd
0.046 0.046 0.915 Ga
0.126 0.126 0.576 Ga
0.874 0.874 0.424 Ga
0.954 0.954 0.085 Ga
```

---

Density of states at the Fermi level / states/eV per cell: 4.3, 3.6, 2.3, 10.8, 1.0, 6.9